Record 1
Here is a relaxed NaHoI crystal from Alexandria via LeMat-Bulk. Energies are from GGA-PBE.

The structure belongs to space group C2/m (No. 12); the cell edges are 12.069, 3.791 and 9.187 Å and the angles 90.00°, 96.35° and 90.00°. Symmetry generates all atoms from Na at (0.117, 0.000, 0.271), Ho at (0.130, 0.500, 0.926) and I at (0.149, 0.000, 0.652).

As for the density of states at the Fermi level: 0.594 states/eV per atom. The formation energy from raw total energies is -0.4511 eV/atom.

=====

Record 2
Here is a relaxed TbY4S4 crystal from Alexandria via LeMat-Bulk. Energies are from GGA-PBE.

The structure belongs to space group I4/m (No. 87); the cell edges are 8.693, 8.693 and 5.511 Å and the angles 90.00°, 90.00° and 90.00°. Symmetry generates all atoms from Tb at (0.000, 0.000, 0.000), Y at (0.103, 0.302, 0.500) and S at (0.099, 0.302, 0.000).

As for the density of states at the Fermi level: 0.605 states/eV per atom. The formation energy from raw total energies is -1.7748 eV/atom.

=====

Record 3
Here is a relaxed Er8MgSb6 crystal from Alexandria via LeMat-Bulk. Energies are from GGA-PBE.

The structure belongs to space group R-3 (No. 148, hexagonal axes); the cell edges are 8.9828, 8.9828 and 18.7286 Å and the angles 90.00°, 90.00° and 120.00°. Symmetry generates all atoms from Er at (0.0000, 0.0000, 0.1684), Er at (0.0032, 0.7188, 0.5945), Mg at (0.0000, 0.0000, 0.5000) and Sb at (0.0019, 0.6284, 0.4242).

As for the density of states at the Fermi level: 0.891 states/eV per atom. The formation energy from raw total energies is -0.7362 eV/atom.

=====

Record 4
Here is a relaxed BaTlIr2 crystal from Alexandria via LeMat-Bulk. Energies are from GGA-PBE.

The structure belongs to space group Pmm2 (No. 25); the cell edges are 3.076, 3.931 and 7.907 Å and the angles 90.00°, 90.00° and 90.00°. Symmetry generates all atoms from Ba at (0.000, 0.000, 0.000), Tl at (0.500, 0.500, 0.652), Ir at (0.000, 0.000, 0.400) and Ir at (0.500, 0.500, 0.292).

As for the density of states at the Fermi level: 0.939 states/eV per atom. For the formation energy, the calculation gives 0.237 eV per atom.

=====

Record 5
Here is a relaxed NaPmP2 crystal from Alexandria via LeMat-Bulk. Energies are from GGA-PBE.

The structure belongs to space group P4/mmm (No. 123); the cell edges are 3.863, 3.863 and 6.538 Å and the angles 90.00°, 90.00° and 90.00°. Symmetry generates all atoms from Na at (0.000, 0.000, 0.000), Pm at (0.000, 0.000, 0.500) and P at (0.500, 0.500, 0.324).

As for the density of states at the Fermi level: 0.410 states/eV per atom. The energy above the most stable polymorph in this dataset is 0 meV per atom. For the formation energy, the calculation gives -0.703 eV per atom.

=====

Record 6
Here is a relaxed Sm3Cd2Hg6 crystal from Alexandria via LeMat-Bulk. Energies are from GGA-PBE.

The structure belongs to space group I4/mmm (No. 139); the cell edges are 4.263, 4.263 and 33.016 Å and the angles 90.00°, 90.00° and 90.00°. Symmetry generates all atoms from Sm at (0.000, 0.000, 0.000), Sm at (0.000, 0.000, 0.178), Cd at (0.000, 0.000, 0.362), Hg at (0.000, 0.000, 0.273) and Hg at (0.000, 0.500, 0.072).

As for the density of states at the Fermi level: 0.853 states/eV per atom. For the formation energy, the calculation gives -0.192 eV per atom.

=====

Record 7
Here is a relaxed ScAl2Pd2Au crystal from Alexandria via LeMat-Bulk. Energies are from GGA-PBE.

The structure belongs to space group P-3m1 (No. 164); the cell edges are 4.4136, 4.4136 and 5.9021 Å and the angles 90.00°, 90.00° and 120.00°. Symmetry generates all atoms from Sc at (0.0000, 0.0000, 0.0000), Al at (0.3333, 0.6667, 0.7027), Pd at (0.3333, 0.6667, 0.2454) and Au at (0.0000, 0.0000, 0.5000).

As for the density of states at the Fermi level: 0.558 states/eV per atom. For the formation energy, the calculation gives -0.760 eV per atom.

=====

Record 8
Here is a relaxed Ba2LiAgMo crystal from Alexandria via LeMat-Bulk. Energies are from GGA-PBE.

The structure belongs to space group P4/mmm (No. 123); the cell edges are 6.221, 6.221 and 4.590 Å and the angles 90.00°, 90.00° and 90.00°. Symmetry generates all atoms from Ba at (0.000, 0.500, 0.000), Li at (0.000, 0.000, 0.000), Ag at (0.000, 0.000, 0.500) and Mo at (0.500, 0.500, 0.500).

As for the density of states at the Fermi level: 1.059 states/eV per atom. For the formation energy, the calculation gives 0.889 eV per atom.

=====

Record 9
Here is a relaxed BaLaGaPb crystal from Alexandria via LeMat-Bulk. Energies are from GGA-PBE.

The structure belongs to space group F-43m (No. 216); the cell edges are 8.118, 8.118 and 8.118 Å and the angles 90.00°, 90.00° and 90.00°. Symmetry generates all atoms from Ba at (0.000, 0.000, 0.000), La at (0.000, 0.000, 0.500), Ga at (0.250, 0.250, 0.750) and Pb at (0.250, 0.250, 0.250).

As for the density of states at the Fermi level: 0.852 states/eV per atom. For the formation energy, the calculation gives -0.391 eV per atom.

=====

Record 10
Here is a relaxed Ga8Cu2Pd crystal from Alexandria via LeMat-Bulk. Energies are from GGA-PBE.

The structure belongs to space group C2/m (No. 12); the cell edges are 9.677, 8.967 and 4.548 Å and the angles 90.00°, 107.20° and 90.00°. Symmetry generates all atoms from Ga at (0.000, 0.145, 0.000), Ga at (0.150, 0.243, 0.651), Ga at (0.156, 0.500, 0.070), Cu at (0.208, 0.000, 0.379) and Pd at (0.000, 0.500, 0.500).

As for the density of states at the Fermi level: 0.262 states/eV per atom. The energy above the most stable polymorph in this dataset is 25 meV per atom. For the formation energy, the calculation gives -0.096 eV per atom.

=====

Record 11
Here is a relaxed Mg2TiIr crystal from Alexandria via LeMat-Bulk. Energies are from GGA-PBE.

The structure belongs to space group I-42d (No. 122); the cell edges are 3.812, 3.812 and 19.844 Å and the angles 90.00°, 90.00° and 90.00°. Symmetry generates all atoms from Mg at (0.240, 0.250, 0.125), Ti at (0.000, 0.000, 0.500) and Ir at (0.000, 0.000, 0.000).

As for the density of states at the Fermi level: 0.464 states/eV per atom. The energy above the most stable polymorph in this dataset is 150 meV per atom. For the formation energy, the calculation gives 0.063 eV per atom.

=====

Record 12
Here is a relaxed TbCe2Ho crystal from Alexandria via LeMat-Bulk. Energies are from GGA-PBE.

The structure belongs to space group R-3m (No. 166, hexagonal axes); the cell edges are 3.4818, 3.4818 and 34.4737 Å and the angles 90.00°, 90.00° and 120.00°. Symmetry generates all atoms from Tb at (0.0000, 0.0000, 0.0000), Ce at (0.0000, 0.0000, 0.2497) and Ho at (0.0000, 0.0000, 0.5000).

As for the density of states at the Fermi level: 2.602 states/eV per atom. The energy above the most stable polymorph in this dataset is 0 meV per atom. For the formation energy, the calculation gives 0.089 eV per atom.

=====

Record 13
Here is a relaxed HoScIrRh crystal from Alexandria via LeMat-Bulk. Energies are from GGA-PBE.

The structure belongs to space group F-43m (No. 216); the cell edges are 6.647, 6.647 and 6.647 Å and the angles 90.00°, 90.00° and 90.00°. Symmetry generates all atoms from Ho at (0.000, 0.000, 0.000), Sc at (0.000, 0.000, 0.500), Ir at (0.250, 0.250, 0.750) and Rh at (0.250, 0.250, 0.250).

As for the density of states at the Fermi level: 0.444 states/eV per atom. For the formation energy, the calculation gives -0.936 eV per atom.

=====

Record 14
Here is a relaxed Sr3BTe crystal from Alexandria via LeMat-Bulk. Energies are from GGA-PBE.

The structure belongs to space group Pm-3m (No. 221); the cell edges are 5.566, 5.566 and 5.566 Å and the angles 90.00°, 90.00° and 90.00°. Symmetry generates all atoms from Sr at (0.000, 0.000, 0.500), B at (0.000, 0.000, 0.000) and Te at (0.500, 0.500, 0.500).

As for the density of states at the Fermi level: 0.789 states/eV per atom. The energy above the most stable polymorph in this dataset is 0 meV per atom. The formation energy from raw total energies is -0.2908 eV/atom.

=====

Record 15
Here is a relaxed Li2GeRhN crystal from Alexandria via LeMat-Bulk. Energies are from GGA-PBE.

The structure belongs to space group P4/mmm (No. 123); the cell edges are 4.086, 4.086 and 3.834 Å and the angles 90.00°, 90.00° and 90.00°. Symmetry generates all atoms from Li at (0.000, 0.500, 0.000), Ge at (0.000, 0.000, 0.500), Rh at (0.500, 0.500, 0.500) and N at (0.500, 0.500, 0.000).

As for the density of states at the Fermi level: 0.468 states/eV per atom. The energy above the most stable polymorph in this dataset is 0 meV per atom. The formation energy from raw total energies is -0.2441 eV/atom.

=====

Record 16
Here is a relaxed La2TlTc crystal from Alexandria via LeMat-Bulk. Energies are from GGA-PBE.

The structure belongs to space group P4mm (No. 99); the cell edges are 3.682, 3.682 and 7.330 Å and the angles 90.00°, 90.00° and 90.00°. Symmetry generates all atoms from La at (0.000, 0.000, 0.000), La at (0.500, 0.500, 0.290), Tl at (0.500, 0.500, 0.719) and Tc at (0.000, 0.000, 0.516).

As for the density of states at the Fermi level: 0.752 states/eV per atom. For the formation energy, the calculation gives 0.185 eV per atom.

=====

Record 17
Here is a relaxed Ac3Au2 crystal from Alexandria via LeMat-Bulk. Energies are from GGA-PBE.

The structure belongs to space group Pnma (No. 62); the cell edges are 12.431, 4.243 and 13.181 Å and the angles 90.00°, 90.00° and 90.00°. Symmetry generates all atoms from Ac at (0.058, 0.250, 0.134), Ac at (0.129, 0.750, 0.549), Ac at (0.219, 0.250, 0.794), Au at (0.016, 0.750, 0.321) and Au at (0.180, 0.750, 0.983).

As for the density of states at the Fermi level: 1.114 states/eV per atom. The energy above the most stable polymorph in this dataset is 0 meV per atom. For the formation energy, the calculation gives -0.617 eV per atom.

=====

Record 18
Here is a relaxed BiPtPb2 crystal from Alexandria via LeMat-Bulk. Energies are from GGA-PBE.

The structure belongs to space group R-3m (No. 166, hexagonal axes); the cell edges are 3.6710, 3.6710 and 30.6792 Å and the angles 90.00°, 90.00° and 120.00°. Symmetry generates all atoms from Bi at (0.0000, 0.0000, 0.0000), Pt at (0.0000, 0.0000, 0.5000) and Pb at (0.0000, 0.0000, 0.1064).

As for the density of states at the Fermi level: 0.549 states/eV per atom. For the formation energy, the calculation gives -0.018 eV per atom.

=====

Record 19
Here is a relaxed InGa2AgTe crystal from Alexandria via LeMat-Bulk. Energies are from GGA-PBE.

The structure belongs to space group P4/mmm (No. 123); the cell edges are 5.242, 5.242 and 5.269 Å and the angles 90.00°, 90.00° and 90.00°. Symmetry generates all atoms from In at (0.000, 0.000, 0.000), Ga at (0.000, 0.500, 0.000), Ag at (0.000, 0.000, 0.500) and Te at (0.500, 0.500, 0.500).

As for the density of states at the Fermi level: 0.683 states/eV per atom. The formation energy from raw total energies is 0.4046 eV/atom.

=====

Record 20
Here is a relaxed ZnCu2AgF8 crystal from Alexandria via LeMat-Bulk. Energies are from GGA-PBE.

The structure belongs to space group I-4 (No. 82); the cell edges are 5.341, 5.341 and 10.991 Å and the angles 90.00°, 90.00° and 90.00°. Symmetry generates all atoms from Zn at (0.000, 0.000, 0.000), Cu at (0.000, 0.000, 0.500), Cu at (0.000, 0.500, 0.750), Ag at (0.000, 0.500, 0.250), F at (0.154, 0.805, 0.783) and F at (0.200, 0.290, 0.464).

As for the density of states at the Fermi level: 0.255 states/eV per atom. The formation energy from raw total energies is -1.5338 eV/atom.